MgB4Mo | GGA-PBE | optimized geometry

```
data_MgB4Mo
_chemical_formula_sum 'Mg4 B16 Mo4'
_symmetry_space_group_name_H-M 'P 1'
_symmetry_Int_Tables_number 1
_cell_length_a 6.0516
_cell_length_b 11.4836
_cell_length_c 3.3748
_cell_angle_alpha 90.00
_cell_angle_beta 90.00
_cell_angle_gamma 90.00
loop_
_symmetry_equiv_pos_as_xyz
'x,y,z'
loop_
_atom_site_label
_atom_site_fract_x
_atom_site_fract_y
_atom_site_fract_z
_atom_site_occupancy
B1 0.1284 0.0289 0.5000 1
B2 0.6203 0.0537 0.5000 1
B3 0.1952 0.1861 0.5000 1
B4 0.5104 0.2001 0.5000 1
B5 0.0104 0.2999 0.5000 1
B6 0.6952 0.3139 0.5000 1
B7 0.1203 0.4463 0.5000 1
B8 0.6284 0.4711 0.5000 1
B9 0.3716 0.5289 0.5000 1
B10 0.8797 0.5537 0.5000 1
B11 0.3048 0.6861 0.5000 1
B12 0.9896 0.7001 0.5000 1
B13 0.4896 0.7999 0.5000 1
B14 0.8048 0.8139 0.5000 1
B15 0.3797 0.9463 0.5000 1
B16 0.8716 0.9711 0.5000 1
Mg1 0.8797 0.1504 0.0000 1
Mg2 0.3797 0.3496 0.0000 1
Mg3 0.6203 0.6504 0.0000 1
Mg4 0.1203 0.8496 0.0000 1
Mo1 0.3652 0.0858 0.0000 1
Mo2 0.8652 0.4142 0.0000 1
Mo3 0.1348 0.5858 0.0000 1
Mo4 0.6348 0.9142 0.0000 1
```

Properties
- Space-group type: Pbam, No. 55
- E_tot: -6.684 eV per atom
- E above lowest polymorph: 160.1 meV/atom
- Total magnetization: 0.017 μB per formula unit